This record from the Alexandria database describes a relaxed structure of RbAlHg2Bi. The functional is GGA-PBE.

Results
D(E_F) ... 2.1 states/eV/cell
Volume ... 34.00 Å³/atom
Energy of formation from the pure elements ... -0.051 eV/atom

The structure in POSCAR format:
```
RbAlHg2Bi
1.0
5.492 0.000 0.000
0.000 5.492 0.000
0.000 0.000 5.637
Rb Hg Bi Al
1 2 1 1
Cartesian
2.746 2.746 2.819
0.000 2.746 0.000
2.746 0.000 0.000
0.000 0.000 2.819
0.000 0.000 0.000
```